(1)
An optimized crystal structure of Na2B7Rh12, computed with PBE-GGA.

```
21
Lattice="10.273 0.000 0.000 -5.137 8.897 0.000 0.000 0.000 2.937" Properties=species:S:1:pos:R:3 pbc="T T T"
Na 0.000 0.000 0.000
Na 0.000 5.931 1.469
B -1.443 2.503 1.469
B -2.994 5.397 0.000
B -2.248 8.895 1.469
B 1.960 3.605 0.000
B 1.034 8.792 0.000
B 5.137 2.966 0.000
B 3.691 6.396 1.469
Rh -1.407 4.003 0.000
Rh -2.989 6.872 1.469
Rh 0.680 2.872 1.469
Rh 2.637 1.499 0.000
Rh -0.966 8.114 0.000
Rh 2.373 5.677 0.000
Rh 3.692 3.727 1.469
Rh 5.199 1.334 1.469
Rh 2.309 8.050 1.469
Rh 5.117 5.863 0.000
Rh 7.656 1.534 0.000
Rh 6.519 3.836 1.469
```

Output
The formation energy from the elements is -0.1648 eV per atom. The value obtained for the total moment is 0.00 Bohr magnetons per cell. Its space group is P-6, No. 174. For the total energy, the calculation gives -6.717 eV/atom.



(2)
An optimized crystal structure of Pr8ZnSi3I4, computed with PBE-GGA.

```
16
Lattice="4.364 2.519 7.723 -4.364 2.519 7.723 0.000 -5.039 7.723" Properties=species:S:1:pos:R:3 pbc="T T T"
Pr -2.211 -1.277 13.169
Pr 0.000 0.000 5.403
Pr 0.000 -2.553 9.999
Pr -2.211 1.277 9.999
Pr 2.211 -1.277 13.169
Pr 0.000 2.553 13.169
Pr 0.000 0.000 17.766
Pr 2.211 1.277 9.999
Zn 0.000 0.000 11.584
Si -4.364 0.000 11.584
Si -2.182 1.260 3.861
Si 2.182 1.260 3.861
I 0.000 0.000 0.000
I -2.182 -1.260 7.723
I -2.182 1.260 15.446
I 0.000 2.519 7.723
```

Output
The value obtained for the total moment is 0.00 Bohr magnetons per cell. Its space group is R-3m, No. 166. As for the raw formation energy: -845 meV/atom. For the total energy, the calculation gives -4.719 eV/atom.



(3)
An optimized crystal structure of NaErSe2, computed with PBE-GGA.

```
8
Lattice="4.098 0.000 0.000 -2.049 3.549 0.000 0.000 0.000 14.304" Properties=species:S:1:pos:R:3 pbc="T T T"
Na 0.000 2.366 3.576
Na 2.049 1.183 10.728
Er 0.000 0.000 0.000
Er 0.000 0.000 7.152
Se 0.000 2.366 8.753
Se 0.000 2.366 12.703
Se 2.049 1.183 1.601
Se 2.049 1.183 5.551
```

Output
The value obtained for the total moment is 0.00 Bohr magnetons per cell. Its excess energy over the best structure of this formula in the dataset is 18.2 meV/atom. Its space group is P6_3/mmc, No. 194. As for the raw formation energy: -1685 meV/atom. For the total energy, the calculation gives -4.898 eV/atom.



(4)
An optimized crystal structure of CaBe2Al, computed with PBE-GGA.

```
4
Lattice="0.000 3.156 3.156 3.156 0.000 3.156 3.156 3.156 0.000" Properties=species:S:1:pos:R:3 pbc="T T T"
Ca 0.000 0.000 0.000
Be 3.156 3.156 3.156
Be 4.734 4.734 4.734
Al 1.578 1.578 1.578
```

Output
The formation energy from the elements is 0.3775 eV per atom. The value obtained for the total moment is 0.00 Bohr magnetons per cell. Its space group is F-43m, No. 216. For the total energy, the calculation gives -2.922 eV/atom.



(5)
An optimized crystal structure of MnSb2TeI, computed with PBE-GGA.

```
5
Lattice="5.816 0.000 0.000 0.000 5.816 0.000 0.000 0.000 5.714" Properties=species:S:1:pos:R:3 pbc="T T T"
Mn 0.000 0.000 0.000
Sb 0.000 2.908 2.857
Sb 2.908 0.000 2.857
Te 2.908 2.908 0.000
I 2.908 2.908 2.857
```

Output
The value obtained for the total moment is 4.44 Bohr magnetons per cell. Its excess energy over the best structure of this formula in the dataset is 1016.5 meV/atom. Its space group is P4/mmm, No. 123. As for the raw formation energy: 1307 meV/atom. For the total energy, the calculation gives -3.114 eV/atom.



(6)
An optimized crystal structure of MnSb2As, computed with PBE-GGA.

```
4
Lattice="2.378 -2.382 0.000 2.378 2.382 0.000 0.000 0.000 7.357" Properties=species:S:1:pos:R:3 pbc="T T T"
Mn 0.000 0.000 0.000
Sb 2.378 0.000 1.603
Sb 2.378 0.000 5.755
As 0.000 0.000 3.679
```

Output
The value obtained for the total moment is 2.62 Bohr magnetons per cell. Its space group is Cmmm, No. 65. As for the raw formation energy: 286 meV/atom. For the total energy, the calculation gives -5.230 eV/atom.



(7)
An optimized crystal structure of LaRe2P, computed with PBE-GGA.

```
4
Lattice="0.000 3.307 3.307 3.307 0.000 3.307 3.307 3.307 0.000" Properties=species:S:1:pos:R:3 pbc="T T T"
La 0.000 0.000 0.000
Re 1.654 1.654 1.654
Re 3.307 3.307 3.307
P 4.961 4.961 4.961
```

Output
The formation energy from the elements is 0.5905 eV per atom. The value obtained for the total moment is 0.18 Bohr magnetons per cell. Its space group is F-43m, No. 216. For the total energy, the calculation gives -8.218 eV/atom.



(8)
An optimized crystal structure of Li3Y2S4, computed with PBE-GGA.

```
9
Lattice="3.355 -1.937 0.000 3.355 1.937 0.000 -0.016 0.000 14.953" Properties=species:S:1:pos:R:3 pbc="T T T"
Li 0.000 0.000 0.000
Li 2.237 0.000 5.770
Li 4.458 0.000 9.183
Y 2.221 0.000 11.891
Y 4.474 0.000 3.063
S 0.000 0.000 4.754
S 2.237 0.000 1.521
S 4.458 0.000 13.432
S 6.695 0.000 10.200
```

Output
The value obtained for the total moment is 0.52 Bohr magnetons per cell. Its space group is C2/m, No. 12. As for the raw formation energy: -1628 meV/atom. For the total energy, the calculation gives -5.536 eV/atom.